No. 1
DFT (GGA-PBE) results for a relaxed structure of BaGdZn2.

abc: 5.436 5.436 5.436
angles: 60.00 60.00 60.00
Element x y z (fractional)
1 Ba 0.000 0.000 0.000
2 Gd 0.500 0.500 0.500
3 Zn 0.250 0.250 0.250
4 Zn 0.750 0.750 0.750

Calculated values
- energy above the most stable polymorph in this dataset (eV/f.u.) = 0.44
- energy of formation (kcal/mol of atoms) = -2.7
- calculated volume (A^3/atom) = 28.4



No. 2
DFT (GGA-PBE) results for a relaxed structure of ScWSe2.

abc: 10.018 10.018 10.018
angles: 18.54 18.54 18.54
Element x y z (fractional)
1 Sc 0.000 0.000 0.000
2 W 0.255 0.255 0.255
3 Se 0.529 0.529 0.529
4 Se 0.734 0.734 0.734

Calculated values
- formation energy without anion corrections (meV per atom) = -371.5
- energy above the most stable polymorph in this dataset (eV/f.u.) = 0.78
- calculated volume (A^3/atom) = 22.2



No. 3
DFT (GGA-PBE) results for a relaxed structure of Tb3Bi.

abc: 6.290 6.290 6.290
angles: 135.94 135.94 64.07
Element x y z (fractional)
1 Tb 0.000 0.000 0.000
2 Tb 0.250 0.750 0.500
3 Tb 0.750 0.250 0.500
4 Bi 0.500 0.500 0.000

Calculated values
- energy of formation (kcal/mol of atoms) = -8.1
- calculated volume (A^3/atom) = 29.7



No. 4
DFT (GGA-PBE) results for a relaxed structure of KMgTeI2.

abc: 6.351 6.351 6.346
angles: 90.00 90.00 90.00
Element x y z (fractional)
1 K 0.000 0.000 0.000
2 Mg 0.500 0.500 0.500
3 Te 0.000 0.000 0.500
4 I 0.000 0.500 0.000
5 I 0.500 0.000 0.000

Calculated values
- formation energy without anion corrections (meV per atom) = 137.0
- energy above the most stable polymorph in this dataset (eV/f.u.) = 4.65
- calculated volume (A^3/atom) = 51.2



No. 5
DFT (GGA-PBE) results for a relaxed structure of CdInB2Sb.

abc: 4.484 4.484 6.248
angles: 90.00 90.00 90.00
Element x y z (fractional)
1 Cd 0.000 0.000 0.000
2 In 0.500 0.500 0.000
3 B 0.000 0.500 0.500
4 B 0.500 0.000 0.500
5 Sb 0.500 0.500 0.500

Calculated values
- formation energy without anion corrections (meV per atom) = 1498.3
- calculated volume (A^3/atom) = 25.1



No. 6
DFT (GGA-PBE) results for a relaxed structure of PrHo5Bi4.

abc: 10.232 10.232 7.767
angles: 101.50 101.50 25.00
Element x y z (fractional)
1 Pr 0.000 0.000 0.000
2 Ho 0.000 0.000 0.500
3 Ho 0.304 0.304 0.389
4 Ho 0.311 0.311 0.914
5 Ho 0.689 0.689 0.086
6 Ho 0.696 0.696 0.611
7 Bi 0.137 0.137 0.328
8 Bi 0.435 0.435 0.228
9 Bi 0.565 0.565 0.772
10 Bi 0.863 0.863 0.672

Calculated values
- energy of formation (kcal/mol of atoms) = -12.8
- calculated volume (A^3/atom) = 33.6



No. 7
DFT (GGA-PBE) results for a relaxed structure of Ca2MgScBe.

abc: 5.784 5.784 5.406
angles: 90.00 90.00 90.00
Element x y z (fractional)
1 Ca 0.000 0.500 0.000
2 Ca 0.500 0.000 0.000
3 Mg 0.000 0.000 0.000
4 Sc 0.000 0.000 0.500
5 Be 0.500 0.500 0.500

Calculated values
- energy of formation (kcal/mol of atoms) = 23.8
- calculated volume (A^3/atom) = 36.2



No. 8
DFT (GGA-PBE) results for a relaxed structure of Pm12Dy3Hg.

abc: 5.049 5.049 20.521
angles: 90.00 90.00 90.00
Element x y z (fractional)
1 Pm 0.000 0.000 0.000
2 Pm 0.000 0.000 0.245
3 Pm 0.000 0.000 0.500
4 Pm 0.000 0.000 0.755
5 Pm 0.000 0.500 0.121
6 Pm 0.000 0.500 0.373
7 Pm 0.000 0.500 0.627
8 Pm 0.000 0.500 0.879
9 Pm 0.500 0.000 0.121
10 Pm 0.500 0.000 0.373
11 Pm 0.500 0.000 0.627
12 Pm 0.500 0.000 0.879
13 Dy 0.500 0.500 0.247
14 Dy 0.500 0.500 0.500
15 Dy 0.500 0.500 0.753
16 Hg 0.500 0.500 0.000

Calculated values
- energy of formation (kcal/mol of atoms) = -0.5
- calculated volume (A^3/atom) = 32.7



No. 9
DFT (GGA-PBE) results for a relaxed structure of SrSm2ReO8.

abc: 4.561 5.180 7.063
angles: 89.85 73.96 87.79
Element x y z (fractional)
1 Sr 0.000 0.000 0.000
2 Sm 0.397 0.507 0.283
3 Sm 0.603 0.493 0.717
4 Re 0.000 0.000 0.500
5 O 0.161 0.288 0.599
6 O 0.229 0.773 0.614
7 O 0.236 0.500 0.006
8 O 0.323 0.995 0.256
9 O 0.677 0.005 0.744
10 O 0.764 0.500 0.994
11 O 0.771 0.227 0.386
12 O 0.839 0.712 0.401

Calculated values
- formation energy without anion corrections (meV per atom) = -2445.9
- calculated volume (A^3/atom) = 13.4



No. 10
DFT (GGA-PBE) results for a relaxed structure of KCdGe2Os.

abc: 4.835 4.835 5.346
angles: 90.00 90.00 90.00
Element x y z (fractional)
1 K 0.000 0.000 0.000
2 Cd 0.500 0.500 0.000
3 Ge 0.000 0.500 0.500
4 Ge 0.500 0.000 0.500
5 Os 0.500 0.500 0.500

Calculated values
- energy of formation (kcal/mol of atoms) = 1.6
- calculated volume (A^3/atom) = 25.0



No. 11
DFT (GGA-PBE) results for a relaxed structure of CeLuInPt.

abc: 5.152 5.152 5.152
angles: 60.00 60.00 60.00
Element x y z (fractional)
1 Ce 0.000 0.000 0.000
2 Lu 0.500 0.500 0.500
3 In 0.750 0.750 0.750
4 Pt 0.250 0.250 0.250

Calculated values
- energy of formation (kcal/mol of atoms) = -14.8
- calculated volume (A^3/atom) = 24.2



No. 12
DFT (GGA-PBE) results for a relaxed structure of HgOs2Pb.

abc: 5.151 5.151 5.151
angles: 132.42 132.42 69.57
Element x y z (fractional)
1 Hg 0.000 0.000 0.000
2 Os 0.250 0.750 0.500
3 Os 0.500 0.500 0.000
4 Pb 0.750 0.250 0.500

Calculated values
- energy above the most stable polymorph in this dataset (eV/f.u.) = 2.85
- energy of formation (kcal/mol of atoms) = 28.4
- calculated volume (A^3/atom) = 18.3